Record 1
# Ti8PC2

A relaxed Ti8PC2 crystal (PBE-GGA, the Alexandria database).

Cell: 4.310 6.210 6.210 Å, 112.44 96.25 96.25°
Fractional positions:
Ti 0.922 0.925 0.667
Ti 0.500 0.250 0.750
C 0.000 0.310 0.690
P 0.500 0.000 0.000
C 0.000 0.690 0.310
Ti 0.500 0.750 0.250
Ti 0.697 0.393 0.393
Ti 0.078 0.333 0.075
Ti 0.078 0.075 0.333
Ti 0.303 0.607 0.607
Ti 0.922 0.667 0.925

Calculated values
final energy: -91.18 eV per cell
Fermi-level density of states: 8.90 states/eV/cell
mass density: 4.83 Mg/m³
V: 13.69 Å³ per atom

=====

Record 2
# LiSBrN2

A relaxed LiSBrN2 crystal (PBE-GGA, the Alexandria database).

Cell: 3.740 3.740 6.206 Å, 90.00 90.00 90.00°
Site moments in Bohr magnetons follow the coordinates.
Fractional positions:
Li 0.000 0.000 0.000  0.01
Br 0.500 0.500 0.500  0.04
S 0.000 0.000 0.500  0.10
N 0.000 0.500 0.000  0.91
N 0.500 0.000 0.000  0.91

Calculated values
final energy: -15.17 eV per cell
Fermi-level density of states: 3.73 states/eV/cell
E_form (uncorrected): 1.839 eV per atom
mass density: 2.81 Mg/m³
energy relative to the lowest polymorph listed for this composition: 0.075 eV per atom
V: 17.36 Å³ per atom

=====

Please write out number 2 again, unchanged.
# LiSBrN2

A relaxed LiSBrN2 crystal (PBE-GGA, the Alexandria database).

Cell: 3.740 3.740 6.206 Å, 90.00 90.00 90.00°
Site moments in Bohr magnetons follow the coordinates.
Fractional positions:
Li 0.000 0.000 0.000  0.01
Br 0.500 0.500 0.500  0.04
S 0.000 0.000 0.500  0.10
N 0.000 0.500 0.000  0.91
N 0.500 0.000 0.000  0.91

Calculated values
final energy: -15.17 eV per cell
Fermi-level density of states: 3.73 states/eV/cell
E_form (uncorrected): 1.839 eV per atom
mass density: 2.81 Mg/m³
energy relative to the lowest polymorph listed for this composition: 0.075 eV per atom
V: 17.36 Å³ per atom

=====

Among the records above, which one has the highest final energy?
LiSBrN2

=====

mass density of number 1 (Ti8PC2)?
4.83 Mg/m³